# 1
DFT (PBE) results for a relaxed structure of LaTaOs2.

The space group is C2/m (No. 12) and the conventional cell measures 8.268, 3.149 and 6.525 Å, with angles of 90.00, 100.37 and 90.00 degrees. The asymmetric unit holds La at (0.000, 0.000, 0.000), Ta at (0.000, 0.500, 0.500) and Os at (0.238, 0.000, 0.678).

The calculation puts the density of states at the Fermi level at 7.261 states/eV/cell. The calculation puts the magnetization at 0.000 μB per atom. The value obtained for the volume is 20.9 A^3/atom. For the electronic total energy, the calculation gives -9.576 eV per atom. The value obtained for the calculated density is 13.9 g cm⁻³. The formation energy comes out at 0.234 eV/atom.

=====

# 2
DFT (PBE) results for a relaxed structure of HfV2Ni.

The space group is I-42d (No. 122) and the conventional cell measures 3.565, 3.565 and 19.555 Å, with angles of 90.00, 90.00 and 90.00 degrees. The asymmetric unit holds Hf at (0.000, 0.000, 0.000), V at (0.244, 0.750, 0.625) and Ni at (0.000, 0.000, 0.500).

The calculation puts the density of states at the Fermi level at 20.596 states/eV/cell. The calculation puts the magnetization at 0.000 μB per atom. The value obtained for the volume is 15.5 A^3/atom. For the electronic total energy, the calculation gives -8.196 eV per atom. The value obtained for the calculated density is 9.1 g cm⁻³. The formation energy comes out at 0.297 eV/atom. For the relative energy among the computed polymorphs, the calculation gives 113 meV/atom.

=====

# 3
DFT (PBE) results for a relaxed structure of KSnI2.

The space group is R-3m (No. 166, hexagonal axes) and the conventional cell measures 4.9877, 4.9877 and 30.2155 Å, with angles of 90.00, 90.00 and 120.00 degrees. The asymmetric unit holds K at (0.0000, 0.0000, 0.0000), Sn at (0.0000, 0.0000, 0.5000) and I at (0.0000, 0.0000, 0.1133).

The calculation puts the formation energy from raw total energies at -0.425 eV/atom. The calculation puts the density of states at the Fermi level at 6.683 states/eV/cell. The calculation puts the magnetization at 0.000 μB per atom. The value obtained for the volume is 54.2 A^3/atom. For the electronic total energy, the calculation gives -2.475 eV per atom. The value obtained for the calculated density is 3.1 g cm⁻³. For the relative energy among the computed polymorphs, the calculation gives 122 meV/atom.

=====

# 4
DFT (PBE) results for a relaxed structure of ZrMn3Rh4.

The space group is Im-3m (No. 229) and the conventional cell measures 6.240, 6.240 and 6.240 Å, with angles of 90.00, 90.00 and 90.00 degrees. The asymmetric unit holds Zr at (0.000, 0.000, 0.000), Mn at (0.000, 0.000, 0.500) and Rh at (0.250, 0.250, 0.250).

The calculation puts the density of states at the Fermi level at 12.333 states/eV/cell. The calculation puts the magnetization at 1.707 μB per atom. The value obtained for the volume is 15.2 A^3/atom. For the electronic total energy, the calculation gives -8.562 eV per atom. The value obtained for the calculated density is 9.1 g cm⁻³. The formation energy comes out at -0.379 eV/atom.

=====

# 5
DFT (PBE) results for a relaxed structure of La5Tm6Sc2.

The space group is Pbam (No. 55) and the conventional cell measures 11.328, 20.508 and 3.606 Å, with angles of 90.00, 90.00 and 90.00 degrees. The asymmetric unit holds La at (0.000, 0.000, 0.000), La at (0.064, 0.427, 0.000), La at (0.152, 0.725, 0.000), Tm at (0.078, 0.156, 0.000), Tm at (0.167, 0.884, 0.500), Tm at (0.227, 0.558, 0.500) and Sc at (0.109, 0.286, 0.500).

The calculation puts the density of states at the Fermi level at 43.097 states/eV/cell. The calculation puts the magnetization at 0.000 μB per atom. The value obtained for the volume is 32.2 A^3/atom. For the electronic total energy, the calculation gives -4.867 eV per atom. The value obtained for the calculated density is 7.1 g cm⁻³. The formation energy comes out at 0.066 eV/atom.

=====

# 6
DFT (PBE) results for a relaxed structure of SiIrRh2.

The space group is I-4m2 (No. 119) and the conventional cell measures 3.887, 3.887 and 7.311 Å, with angles of 90.00, 90.00 and 90.00 degrees. The asymmetric unit holds Si at (0.000, 0.000, 0.000), Ir at (0.000, 0.500, 0.750), Rh at (0.000, 0.000, 0.500) and Rh at (0.000, 0.500, 0.250).

The calculation puts the formation energy from raw total energies at -0.276 eV/atom. The calculation puts the density of states at the Fermi level at 8.060 states/eV/cell. The calculation puts the magnetization at 0.000 μB per atom. The value obtained for the volume is 13.8 A^3/atom. For the electronic total energy, the calculation gives -7.523 eV per atom. The value obtained for the calculated density is 12.8 g cm⁻³.

=====

# 7
DFT (PBE) results for a relaxed structure of BaSr2Si.

The space group is Imm2 (No. 44) and the conventional cell measures 3.921, 5.356 and 16.528 Å, with angles of 90.00, 90.00 and 90.00 degrees. The asymmetric unit holds Ba at (0.000, 0.000, 0.000), Sr at (0.000, 0.000, 0.318), Sr at (0.000, 0.500, 0.160) and Si at (0.000, 0.500, 0.663).

The calculation puts the formation energy from raw total energies at -0.115 eV/atom. The calculation puts the density of states at the Fermi level at 6.840 states/eV/cell. The calculation puts the magnetization at 0.000 μB per atom. The value obtained for the volume is 43.4 A^3/atom. For the electronic total energy, the calculation gives -2.792 eV per atom. The value obtained for the calculated density is 3.3 g cm⁻³.

=====

# 8
DFT (PBE) results for a relaxed structure of Cs6Rb9O.

The space group is I4/m (No. 87) and the conventional cell measures 11.295, 11.295 and 21.540 Å, with angles of 90.00, 90.00 and 90.00 degrees. The asymmetric unit holds Cs at (0.000, 0.000, 0.138), Cs at (0.080, 0.747, 0.000), Rb at (0.000, 0.000, 0.500), Rb at (0.079, 0.707, 0.329) and O at (0.000, 0.000, 0.000).

The calculation puts the formation energy from raw total energies at -0.189 eV/atom. The calculation puts the density of states at the Fermi level at 26.192 states/eV/cell. The calculation puts the magnetization at 0.000 μB per atom. The value obtained for the volume is 85.9 A^3/atom. For the electronic total energy, the calculation gives -1.363 eV per atom. The value obtained for the calculated density is 1.9 g cm⁻³.

=====

# 9
DFT (PBE) results for a relaxed structure of HoThPtAu.

The space group is Amm2 (No. 38) and the conventional cell measures 4.442, 3.865 and 11.336 Å, with angles of 90.00, 90.00 and 90.00 degrees. The asymmetric unit holds Ho at (0.000, 0.000, 0.000), Th at (0.500, 0.000, 0.724), Pt at (0.000, 0.000, 0.259) and Au at (0.500, 0.000, 0.447).

The calculation puts the density of states at the Fermi level at 5.351 states/eV/cell. The calculation puts the magnetization at 0.000 μB per atom. The value obtained for the volume is 24.3 A^3/atom. For the electronic total energy, the calculation gives -6.381 eV per atom. The value obtained for the calculated density is 13.5 g cm⁻³. The formation energy comes out at -1.052 eV/atom. For the relative energy among the computed polymorphs, the calculation gives 0 meV/atom.

=====

# 10
DFT (PBE) results for a relaxed structure of NaCoH5.

The space group is Cmcm (No. 63) and the conventional cell measures 3.598, 12.239 and 4.476 Å, with angles of 90.00, 90.00 and 90.00 degrees. The asymmetric unit holds Na at (0.000, 0.156, 0.250), Co at (0.000, 0.429, 0.250), H at (0.000, 0.087, 0.750), H at (0.000, 0.332, 0.044) and H at (0.221, 0.500, 0.000).

The calculation puts the density of states at the Fermi level at 3.343 states/eV/cell. The calculation puts the magnetization at 0.000 μB per atom. The value obtained for the volume is 7.0 A^3/atom. For the electronic total energy, the calculation gives -3.626 eV per atom. The value obtained for the calculated density is 2.9 g cm⁻³.

=====

# 11
DFT (PBE) results for a relaxed structure of Nd3Tc2Ge7.

The space group is P2/m (No. 10) and the conventional cell measures 4.449, 4.393 and 13.238 Å, with angles of 90.00, 99.54 and 90.00 degrees. The asymmetric unit holds Nd at (0.000, 0.000, 0.000), Nd at (0.316, 0.500, 0.631), Tc at (0.127, 0.000, 0.253), Ge at (0.088, 0.500, 0.173), Ge at (0.220, 0.000, 0.441), Ge at (0.411, 0.000, 0.824) and Ge at (0.500, 0.500, 0.000).

The calculation puts the density of states at the Fermi level at 6.298 states/eV/cell. The calculation puts the magnetization at 0.000 μB per atom. The value obtained for the volume is 21.3 A^3/atom. For the electronic total energy, the calculation gives -6.132 eV per atom. The value obtained for the calculated density is 7.4 g cm⁻³. The formation energy comes out at -0.519 eV/atom.

=====

# 12
DFT (PBE) results for a relaxed structure of POsW2.

The space group is F-43m (No. 216) and the conventional cell measures 6.200, 6.200 and 6.200 Å, with angles of 90.00, 90.00 and 90.00 degrees. The asymmetric unit holds P at (0.000, 0.000, 0.000), Os at (0.250, 0.250, 0.750), W at (0.000, 0.000, 0.500) and W at (0.250, 0.250, 0.250).

The calculation puts the density of states at the Fermi level at 20.642 states/eV/cell. The calculation puts the magnetization at 0.000 μB per atom. The value obtained for the volume is 14.9 A^3/atom. For the electronic total energy, the calculation gives -10.186 eV per atom. The value obtained for the calculated density is 16.4 g cm⁻³. The formation energy comes out at 0.451 eV/atom.

=====

Repeat the eighth record exactly.
DFT (PBE) results for a relaxed structure of Cs6Rb9O.

The space group is I4/m (No. 87) and the conventional cell measures 11.295, 11.295 and 21.540 Å, with angles of 90.00, 90.00 and 90.00 degrees. The asymmetric unit holds Cs at (0.000, 0.000, 0.138), Cs at (0.080, 0.747, 0.000), Rb at (0.000, 0.000, 0.500), Rb at (0.079, 0.707, 0.329) and O at (0.000, 0.000, 0.000).

The calculation puts the formation energy from raw total energies at -0.189 eV/atom. The calculation puts the density of states at the Fermi level at 26.192 states/eV/cell. The calculation puts the magnetization at 0.000 μB per atom. The value obtained for the volume is 85.9 A^3/atom. For the electronic total energy, the calculation gives -1.363 eV per atom. The value obtained for the calculated density is 1.9 g cm⁻³.

=====

- Look up the electronic total energy of the fourth one.
  -8.562 eV per atom

=====

- The lowest calculated density belongs to which entry?
  Cs6Rb9O